No. 1
Computed, not measured: a relaxed BaCu2Mo crystal at the PBE level of DFT.

abc: 3.032 4.142 6.832
angles: 90.00 100.72 90.00
Element x y z (fractional)
Ba 0.000 0.000 0.000
Cu 0.625 0.500 0.293
Cu 0.699 0.000 0.500
Mo 0.258 0.500 0.605

Computed properties:
* ΔH_f (0 K): 0.68 eV/atom
* size of the total moment: 0.000 μB/f.u.
* E: -18.232 eV per cell
* excess energy over the best structure of this formula in the dataset: 0.225 eV per atom

---

No. 2
Computed, not measured: a relaxed Ir3Pb crystal at the PBE level of DFT.

abc: 9.127 2.938 5.154
angles: 90.00 100.71 90.00
Element x y z (fractional)
Ir 0.000 0.000 0.000
Ir 0.245 0.500 0.216
Ir 0.255 0.000 0.784
Ir 0.500 0.500 0.000
Ir 0.745 0.000 0.216
Ir 0.755 0.500 0.784
Pb 0.000 0.500 0.500
Pb 0.500 0.000 0.500

Computed properties:
* ΔH_f (0 K): 0.45 eV/atom
* size of the total moment: 0.000 μB/f.u.
* E: -57.008 eV per cell